Entry from the Alexandria database: a relaxed RbCuAg3 crystal (GGA-PBE).

abc: 5.913 5.913 5.913
angles: 90.00 90.00 90.00
Atoms (fractional coordinates):
Cu  0.500  0.500  0.500
Ag  0.500  0.000  0.000
Ag  0.000  0.500  0.000
Rb  0.000  0.000  0.000
Ag  0.000  0.000  0.500

Summary:
DFT formation energy	1.5654	eV/atom
energy relative to the lowest polymorph listed for this composition	1.265	eV per atom
energy	-5.8	eV per cell
calculated volume	206.8	Å³ per cell
SG	Pm-3m
spin magnetization	0.0	μB/f.u.